Entry 1:
IrPd2N | meta-GGA SCAN | single point on PBEsol structure Values from VASP.

The mass density comes out at 10.94 g/cm³. The calculation puts the total moment at 0.00 μB per formula unit. For the uncorrected formation energy, the calculation gives 1.192 eV per atom. For the density of states at the Fermi level, the calculation gives 3.7 states/eV/f.u.

Cell and atoms, written as Quantum ESPRESSO input:
```
&SYSTEM
  ibrav = 0, nat = 8, ntyp = 3
/
ATOMIC_SPECIES
Ir 192.22 Ir.upf
Pd 106.42 Pd.upf
N 14.01 N.upf
ATOMIC_POSITIONS angstrom
Ir 0.000 2.375 2.821
Ir 0.000 0.000 0.000
Pd 1.722 3.562 1.410
Pd 3.027 1.187 1.410
Pd -1.187 -0.652 4.231
Pd 1.187 0.652 4.231
N 2.375 0.000 2.821
N 2.375 2.375 0.000
CELL_PARAMETERS angstrom
4.749 0.000 0.000
0.000 4.749 0.000
-2.375 -2.375 5.642
```

Entry 2:
IrPdN3 | meta-GGA SCAN | single point on PBEsol structure Values from VASP.

The mass density comes out at 10.21 g/cm³. The calculation puts the total moment at 0.00 μB per formula unit. For the uncorrected formation energy, the calculation gives 2.551 eV per atom. For the density of states at the Fermi level, the calculation gives 4.7 states/eV/f.u.

Cell and atoms, written as Quantum ESPRESSO input:
```
&SYSTEM
  ibrav = 0, nat = 5, ntyp = 3
/
ATOMIC_SPECIES
Ir 192.22 Ir.upf
Pd 106.42 Pd.upf
N 14.01 N.upf
ATOMIC_POSITIONS angstrom
Ir 1.906 1.906 1.906
Pd 0.000 0.000 0.000
N 0.000 1.906 0.000
N 0.000 0.000 1.906
N 1.906 0.000 0.000
CELL_PARAMETERS angstrom
3.812 0.000 0.000
0.000 3.812 0.000
0.000 0.000 3.812
```

Entry 3:
IrPdN3 | meta-GGA SCAN | single point on PBEsol structure Values from VASP.

The mass density comes out at 10.04 g/cm³. The calculation puts the total moment at 1.98 μB per formula unit. For the uncorrected formation energy, the calculation gives 1.555 eV per atom. For the density of states at the Fermi level, the calculation gives 2.8 states/eV/f.u.

Cell and atoms, written as Quantum ESPRESSO input:
```
&SYSTEM
  ibrav = 0, nat = 5, ntyp = 3
/
ATOMIC_SPECIES
Ir 192.22 Ir.upf
Pd 106.42 Pd.upf
N 14.01 N.upf
ATOMIC_POSITIONS angstrom
Ir 0.000 0.000 0.000
Pd 1.917 1.917 1.917
N 0.000 1.917 0.000
N 0.000 0.000 1.917
N 1.917 0.000 0.000
CELL_PARAMETERS angstrom
3.834 0.000 0.000
0.000 3.834 0.000
0.000 0.000 3.834
```

Repeat the third record exactly.
IrPdN3 | meta-GGA SCAN | single point on PBEsol structure Values from VASP.

The mass density comes out at 10.04 g/cm³. The calculation puts the total moment at 1.98 μB per formula unit. For the uncorrected formation energy, the calculation gives 1.555 eV per atom. For the density of states at the Fermi level, the calculation gives 2.8 states/eV/f.u.

Cell and atoms, written as Quantum ESPRESSO input:
```
&SYSTEM
  ibrav = 0, nat = 5, ntyp = 3
/
ATOMIC_SPECIES
Ir 192.22 Ir.upf
Pd 106.42 Pd.upf
N 14.01 N.upf
ATOMIC_POSITIONS angstrom
Ir 0.000 0.000 0.000
Pd 1.917 1.917 1.917
N 0.000 1.917 0.000
N 0.000 0.000 1.917
N 1.917 0.000 0.000
CELL_PARAMETERS angstrom
3.834 0.000 0.000
0.000 3.834 0.000
0.000 0.000 3.834
```